ZrInPt2 | PBE | relaxed

Cell: 5.0899 5.0899 4.5679 Å, 75.90 75.90 41.25°
Last column: nearest neighbours and their distance in Å.
Fractional positions:
1 In 0.2541 0.2541 0.2056  7 Pt 2.78-2.92, 1 Zr 3.08
2 Pt 0.9941 0.9941 0.0371  3 In 2.78-2.85, 4 Zr 2.86-2.95, 1 Pt 3.01
3 Zr 0.4925 0.4925 0.5507  7 Pt 2.80-2.95, 1 In 3.08
4 Pt 0.7592 0.7592 0.7067  3 Zr 2.80-2.81, 4 In 2.89-2.92, 1 Pt 3.01

## Properties
Space-group type: Cm (8)
DOS at the Fermi energy, states/eV/cell: 1.44
Calculated density, g/cm3: 13.141
Energy of formation from the pure elements, kcal/mol of atoms: -16.497



ZrInPt2 | PBE | relaxed

Cell: 3.6575 3.6575 5.7380 Å, 90.00 90.00 90.00°
Last column: nearest neighbours and their distance in Å.
Fractional positions:
1 Pt 0.5000 0.5000 0.2826  4 Zr 2.77, 2 In 2.81-2.92
2 In 0.5000 0.5000 0.7922  6 Pt 2.78-2.92
3 Zr 0.0000 0.0000 0.4573  6 Pt 2.77-2.93
4 Pt 0.0000 0.0000 0.9679  4 In 2.78, 2 Zr 2.81-2.93

## Properties
Space-group type: P4mm (99)
DOS at the Fermi energy, states/eV/cell: 2.20
Calculated density, g/cm3: 12.898
Energy of formation from the pure elements, kcal/mol of atoms: -15.172



ZrIn3Pt12 | PBE | relaxed

Cell: 4.0542 4.0542 16.1561 Å, 90.00 90.00 90.00°
Last column: nearest neighbours and their distance in Å.
Fractional positions:
1 Pt 0.5000 0.0000 0.3750  4 In 2.85-2.86, 8 Pt 2.86-2.87
2 Pt 0.5000 0.0000 0.6250  4 In 2.85-2.86, 8 Pt 2.86-2.87
3 Pt 0.5000 0.0000 0.8771  8 Pt 2.84-2.88, 2 Zr 2.84, 2 In 2.90
4 Pt 0.5000 0.5000 0.0000  8 Pt 2.84, 4 Zr 2.87
5 Pt 0.0000 0.5000 0.8771  8 Pt 2.84-2.88, 2 Zr 2.84, 2 In 2.90
6 Pt 0.5000 0.0000 0.1229  2 Zr 2.84, 8 Pt 2.84-2.88, 2 In 2.90
7 Zr 0.0000 0.0000 0.0000  12 Pt 2.84-2.87
8 Pt 0.5000 0.5000 0.5000  8 Pt 2.86, 4 In 2.87
9 Pt 0.0000 0.5000 0.3750  4 In 2.85-2.86, 8 Pt 2.86-2.87
10 Pt 0.5000 0.5000 0.2492  4 In 2.87, 8 Pt 2.87-2.88
11 Pt 0.0000 0.5000 0.6250  4 In 2.85-2.86, 8 Pt 2.86-2.87
12 In 0.0000 0.0000 0.7485  12 Pt 2.85-2.90
13 Pt 0.5000 0.5000 0.7508  4 In 2.87, 8 Pt 2.87-2.88
14 In 0.0000 0.0000 0.5000  12 Pt 2.86-2.87
15 Pt 0.0000 0.5000 0.1229  2 Zr 2.84, 8 Pt 2.84-2.88, 2 In 2.90
16 In 0.0000 0.0000 0.2515  12 Pt 2.85-2.90

## Properties
Space-group type: P4/mmm (123)
DOS at the Fermi energy, states/eV/cell: 14.47
Calculated density, g/cm3: 17.363
Energy of formation from the pure elements, kcal/mol of atoms: -13.015



Zr4In5Pt2 | PBE | relaxed

Cell: 3.3234 7.5991 9.4648 Å, 94.38 90.00 90.00°
Last column: nearest neighbours and their distance in Å.
Fractional positions:
1 Pt 0.0000 0.9244 0.3635  1 Pt 2.75, 6 Zr 2.78-2.89, 2 In 2.87-2.91
2 In 0.0000 0.8357 0.8563  1 Pt 2.87, 1 In 2.98, 4 Zr 3.13-3.16
3 In 0.0000 0.5000 0.0000  6 In 2.98-3.32, 4 Zr 3.12
4 Zr 0.5000 0.8152 0.1386  2 Pt 2.78
5 Zr 0.5000 0.2289 0.4365  4 Pt 2.83-2.89, 2 In 3.15
6 Pt 0.0000 0.0756 0.6365  1 Pt 2.75, 6 Zr 2.78-2.89, 2 In 2.87-2.91
7 Zr 0.5000 0.7711 0.5635  4 Pt 2.83-2.89, 2 In 3.15
8 In 0.0000 0.5405 0.3237  1 Pt 2.91, 2 In 3.06-3.21, 4 Zr 3.15-3.22
9 In 0.0000 0.1643 0.1437  1 Pt 2.87, 1 In 2.98, 4 Zr 3.13-3.16
10 Zr 0.5000 0.1848 0.8614  2 Pt 2.78
11 In 0.0000 0.4595 0.6763  1 Pt 2.91, 2 In 3.06-3.21, 4 Zr 3.15-3.22

## Properties
Space-group type: P2/m (10)
DOS at the Fermi energy, states/eV/cell: 5.63
Calculated density, g/cm3: 9.260
Energy of formation from the pure elements, kcal/mol of atoms: -12.471



ZrIn2Pt2 | PBE | relaxed

Cell: 8.1009 8.1009 2.9283 Å, 90.00 90.00 90.00°
Last column: nearest neighbours and their distance in Å.
Fractional positions:
1 In 0.8691 0.6309 0.0000  6 Pt 2.73-2.85, 3 In 2.93-3.00
2 Pt 0.6683 0.8317 0.5000  6 In 2.73-2.85, 2 Pt 2.93
3 Pt 0.3317 0.1683 0.5000  6 In 2.73-2.85, 2 Pt 2.93
4 In 0.3691 0.8691 0.0000  6 Pt 2.73-2.85, 3 In 2.93-3.00
5 Zr 0.5000 0.5000 0.0000  2 Zr 2.93, 4 In 3.17
6 Pt 0.1683 0.6683 0.5000  6 In 2.73-2.85, 2 Pt 2.93
7 In 0.1309 0.3691 0.0000  6 Pt 2.73-2.85, 3 In 2.93-3.00
8 Zr 0.0000 0.0000 0.0000  2 Zr 2.93, 4 In 3.17
9 Pt 0.8317 0.3317 0.5000  6 In 2.73-2.85, 2 Pt 2.93
10 In 0.6309 0.1309 0.0000  6 Pt 2.73-2.85, 3 In 2.93-3.00

## Properties
Space-group type: P4/mbm (127)
DOS at the Fermi energy, states/eV/cell: 6.50
Calculated density, g/cm3: 12.288
Offset from the most stable computed form, meV per atom: 105
Energy of formation from the pure elements, kcal/mol of atoms: -9.108



ZrInPt2 | PBE | relaxed

Cell: 5.1729 5.1729 5.1729 Å, 132.92 132.92 68.79°
Last column: nearest neighbours and their distance in Å.
Fractional positions:
1 In 0.7500 0.2500 0.5000  8 Pt 2.92-2.97, 4 Zr 2.97
2 Pt 0.2500 0.7500 0.5000  4 In 2.92, 4 Pt 2.97, 4 Zr 2.97
3 Pt 0.0000 0.0000 0.0000  4 Zr 2.92, 4 Pt 2.97, 4 In 2.97
4 Zr 0.5000 0.5000 0.0000  8 Pt 2.92-2.97, 4 In 2.97

## Properties
Space-group type: I-4m2 (119)
DOS at the Fermi energy, states/eV/cell: 3.27
Calculated density, g/cm3: 13.582
Energy of formation from the pure elements, kcal/mol of atoms: -15.969



ZrIn4Pt | PBE | relaxed

Cell: 5.7788 5.7788 5.7788 Å, 60.00 60.00 60.00°
Last column: nearest neighbours and their distance in Å.
Fractional positions:
1 In 0.3750 0.8750 0.3750  6 In 2.89
2 Zr 0.0000 0.0000 0.0000  12 In 3.39, 4 Pt 3.54
3 In 0.3750 0.3750 0.8750  6 In 2.89
4 In 0.3750 0.3750 0.3750  6 In 2.89
5 In 0.8750 0.3750 0.3750  6 In 2.89
6 Pt 0.7500 0.7500 0.7500  12 In 3.39, 4 Zr 3.54

## Properties
Space-group type: F-43m (216)
DOS at the Fermi energy, states/eV/cell: 2.95
Calculated density, g/cm3: 9.073
Energy of formation from the pure elements, kcal/mol of atoms: 6.830



ZrIn2Pt9 | PBE | relaxed

Cell: 4.0517 4.0517 12.1273 Å, 90.00 90.00 90.00°
Last column: nearest neighbours and their distance in Å.
Fractional positions:
1 Pt 0.5000 0.0000 0.8362  2 Zr 2.84, 8 Pt 2.84-2.88, 2 In 2.90
2 Pt 0.5000 0.5000 0.6674  4 In 2.87, 8 Pt 2.87-2.88
3 In 0.0000 0.0000 0.6654  12 Pt 2.85-2.90
4 Zr 0.0000 0.0000 0.0000  12 Pt 2.84-2.86
5 In 0.0000 0.0000 0.3346  12 Pt 2.85-2.90
6 Pt 0.0000 0.5000 0.8362  2 Zr 2.84, 8 Pt 2.84-2.88, 2 In 2.90
7 Pt 0.0000 0.5000 0.1638  8 Pt 2.84-2.88, 2 Zr 2.84, 2 In 2.90
8 Pt 0.5000 0.5000 0.0000  8 Pt 2.84, 4 Zr 2.86
9 Pt 0.5000 0.5000 0.3326  4 In 2.87, 8 Pt 2.87-2.88
10 Pt 0.5000 0.0000 0.1638  8 Pt 2.84-2.88, 2 Zr 2.84, 2 In 2.90
11 Pt 0.5000 0.0000 0.5000  4 In 2.85, 8 Pt 2.86-2.87
12 Pt 0.0000 0.5000 0.5000  4 In 2.85, 8 Pt 2.86-2.87

## Properties
Space-group type: P4/mmm (123)
DOS at the Fermi energy, states/eV/cell: 10.18
Calculated density, g/cm3: 17.321
Energy of formation from the pure elements, kcal/mol of atoms: -14.492



Zr4InPt | PBE | relaxed

Cell: 5.6642 5.6642 5.6642 Å, 60.00 60.00 60.00°
Last column: nearest neighbours and their distance in Å.
Fractional positions:
1 Zr 0.3750 0.3750 0.3750  6 Zr 2.83
2 Pt 0.0000 0.0000 0.0000  12 Zr 3.32, 4 In 3.47
3 In 0.7500 0.7500 0.7500  12 Zr 3.32, 4 Pt 3.47
4 Zr 0.3750 0.8751 0.3750  6 Zr 2.83
5 Zr 0.8751 0.3750 0.3750  6 Zr 2.83
6 Zr 0.3750 0.3750 0.8751  6 Zr 2.83

## Properties
Space-group type: F-43m (216)
DOS at the Fermi energy, states/eV/cell: 5.73
Calculated density, g/cm3: 8.720
Energy of formation from the pure elements, kcal/mol of atoms: 1.591



ZrIn2Pt2 | PBE | relaxed

Cell: 7.1832 7.1832 3.8984 Å, 90.00 90.00 90.00°
Last column: nearest neighbours and their distance in Å.
Fractional positions:
1 Pt 0.8645 0.6355 0.0000  1 Pt 2.75, 2 Zr 2.79, 6 In 2.80-2.93
2 Pt 0.6355 0.1355 0.0000  1 Pt 2.75, 2 Zr 2.79, 6 In 2.80-2.93
3 Pt 0.3645 0.8645 0.0000  1 Pt 2.75, 2 Zr 2.79, 6 In 2.80-2.93
4 Pt 0.1355 0.3645 0.0000  1 Pt 2.75, 2 Zr 2.79, 6 In 2.80-2.93
5 Zr 0.0000 0.0000 0.0000  4 Pt 2.79
6 In 0.1671 0.6671 0.5000  6 Pt 2.80-2.93
7 In 0.3329 0.1671 0.5000  6 Pt 2.80-2.93
8 In 0.6671 0.8329 0.5000  6 Pt 2.80-2.93
9 In 0.8329 0.3329 0.5000  6 Pt 2.80-2.93
10 Zr 0.5000 0.5000 0.0000  4 Pt 2.79

## Properties
Space-group type: P4/mbm (127)
DOS at the Fermi energy, states/eV/cell: 3.78
Calculated density, g/cm3: 11.739
Offset from the most stable computed form, meV per atom: 0
Energy of formation from the pure elements, kcal/mol of atoms: -11.523



- Which value of DOS at the Fermi energy does entry 9 give?
  5.73 states/eV/cell